Compound: PmTlPb2I8
Source: Alexandria via LeMat-Bulk
Functional: PBE
Structure: relaxed

```
data_PmTlPb2I8
_cell_length_a 7.385
_cell_length_b 9.736
_cell_length_c 7.876
_cell_angle_alpha 90.00
_cell_angle_beta 90.78
_cell_angle_gamma 90.00
_space_group_name_H-M_alt 'P 1'
_space_group_IT_number 1
loop_
_space_group_symop_operation_xyz
'x,y,z'
loop_
_atom_site_label
_atom_site_type_symbol
_atom_site_fract_x
_atom_site_fract_y
_atom_site_fract_z
Pm1 Pm 0.000 0.000 0.000
Tl1 Tl 0.000 0.500 0.000
Pb1 Pb 0.500 0.252 0.500
Pb2 Pb 0.500 0.748 0.500
I1 I 0.240 0.000 0.671
I2 I 0.248 0.226 0.155
I3 I 0.248 0.774 0.155
I4 I 0.265 0.500 0.639
I5 I 0.735 0.500 0.361
I6 I 0.752 0.226 0.845
I7 I 0.752 0.774 0.845
I8 I 0.760 0.000 0.329
```

Output
Calculated total energy in eV per atom: -3.112
Energy relative to the elements, uncorrected in eV per atom: -0.8677
Space-group type: P2/m (10)
N(E_F) in states/eV per cell: 0.00
M_tot in Bohr magnetons per cell: 0.0
Crystal system: monoclinic

=====

Compound: TlCdRh2
Source: Alexandria via LeMat-Bulk
Functional: PBE
Structure: relaxed

```
data_TlCdRh2
_cell_length_a 3.035
_cell_length_b 4.170
_cell_length_c 5.684
_cell_angle_alpha 90.00
_cell_angle_beta 90.00
_cell_angle_gamma 90.00
_space_group_name_H-M_alt 'P 1'
_space_group_IT_number 1
loop_
_space_group_symop_operation_xyz
'x,y,z'
loop_
_atom_site_label
_atom_site_type_symbol
_atom_site_fract_x
_atom_site_fract_y
_atom_site_fract_z
Tl1 Tl 0.000 0.000 0.000
Cd1 Cd 0.500 0.500 0.320
Rh1 Rh 0.000 0.000 0.514
Rh2 Rh 0.500 0.500 0.798
```

Output
Calculated total energy in eV per atom: -4.330
Energy relative to the lowest polymorph listed for this composition in meV per atom: 213
Space-group type: Pmm2 (25)
N(E_F) in states/eV per cell: 3.97
M_tot in Bohr magnetons per cell: 0.0
Crystal system: orthorhombic
Calculated formation energy in eV per atom: 0.166

=====

Compound: Sm2ScTa2Ir5
Source: Alexandria via LeMat-Bulk
Functional: PBE
Structure: relaxed

```
data_Sm2ScTa2Ir5
_cell_length_a 10.027
_cell_length_b 10.027
_cell_length_c 3.849
_cell_angle_alpha 90.00
_cell_angle_beta 90.00
_cell_angle_gamma 90.00
_space_group_name_H-M_alt 'P 1'
_space_group_IT_number 1
loop_
_space_group_symop_operation_xyz
'x,y,z'
loop_
_atom_site_label
_atom_site_type_symbol
_atom_site_fract_x
_atom_site_fract_y
_atom_site_fract_z
Sm1 Sm 0.176 0.324 0.000
Sm2 Sm 0.324 0.824 0.000
Sm3 Sm 0.676 0.176 0.000
Sm4 Sm 0.824 0.676 0.000
Sc1 Sc 0.000 0.000 0.000
Sc2 Sc 0.500 0.500 0.000
Ta1 Ta 0.124 0.624 0.000
Ta2 Ta 0.376 0.124 0.000
Ta3 Ta 0.624 0.876 0.000
Ta4 Ta 0.876 0.376 0.000
Ir1 Ir 0.000 0.500 0.500
Ir2 Ir 0.064 0.792 0.500
Ir3 Ir 0.208 0.064 0.500
Ir4 Ir 0.292 0.564 0.500
Ir5 Ir 0.436 0.292 0.500
Ir6 Ir 0.500 0.000 0.500
Ir7 Ir 0.564 0.708 0.500
Ir8 Ir 0.708 0.436 0.500
Ir9 Ir 0.792 0.936 0.500
Ir10 Ir 0.936 0.208 0.500
```

Output
Calculated total energy in eV per atom: -8.839
Space-group type: P4/mbm (127)
N(E_F) in states/eV per cell: 12.51
M_tot in Bohr magnetons per cell: 0.0
Crystal system: tetragonal
Calculated formation energy in eV per atom: -0.461

=====

Compound: Dy2Er4Tm5
Source: Alexandria via LeMat-Bulk
Functional: PBE
Structure: relaxed

```
data_Dy2Er4Tm5
_cell_length_a 6.059
_cell_length_b 6.059
_cell_length_c 12.598
_cell_angle_alpha 103.81
_cell_angle_beta 103.81
_cell_angle_gamma 48.16
_space_group_name_H-M_alt 'P 1'
_space_group_IT_number 1
loop_
_space_group_symop_operation_xyz
'x,y,z'
loop_
_atom_site_label
_atom_site_type_symbol
_atom_site_fract_x
_atom_site_fract_y
_atom_site_fract_z
Dy1 Dy 0.045 0.045 0.318
Dy2 Dy 0.955 0.955 0.682
Er1 Er 0.227 0.227 0.591
Er2 Er 0.409 0.409 0.864
Er3 Er 0.591 0.591 0.136
Er4 Er 0.773 0.773 0.409
Tm1 Tm 0.136 0.136 0.955
Tm2 Tm 0.318 0.318 0.227
Tm3 Tm 0.500 0.500 0.500
Tm4 Tm 0.682 0.682 0.773
Tm5 Tm 0.864 0.864 0.045
```

Output
Calculated total energy in eV per atom: -4.504
Energy relative to the lowest polymorph listed for this composition in meV per atom: 0
Space-group type: C2/m (12)
N(E_F) in states/eV per cell: 15.06
M_tot in Bohr magnetons per cell: 0.0
Crystal system: monoclinic
Calculated formation energy in eV per atom: 0.024

=====

Compound: Cd3GaFe
Source: Alexandria via LeMat-Bulk
Functional: PBE
Structure: relaxed

```
data_Cd3GaFe
_cell_length_a 5.052
_cell_length_b 5.052
_cell_length_c 5.052
_cell_angle_alpha 90.00
_cell_angle_beta 90.00
_cell_angle_gamma 90.00
_space_group_name_H-M_alt 'P 1'
_space_group_IT_number 1
loop_
_space_group_symop_operation_xyz
'x,y,z'
loop_
_atom_site_label
_atom_site_type_symbol
_atom_site_fract_x
_atom_site_fract_y
_atom_site_fract_z
Cd1 Cd 0.000 0.000 0.500
Cd2 Cd 0.000 0.500 0.000
Cd3 Cd 0.500 0.000 0.000
Ga1 Ga 0.500 0.500 0.500
Fe1 Fe 0.000 0.000 0.000
```

Output
Calculated total energy in eV per atom: -2.200
Energy relative to the lowest polymorph listed for this composition in meV per atom: 0
Space-group type: Pm-3m (221)
N(E_F) in states/eV per cell: 5.57
M_tot in Bohr magnetons per cell: 0.0
Crystal system: cubic
Calculated formation energy in eV per atom: 0.647

=====

Compound: LiMnAs
Source: Alexandria via LeMat-Bulk
Functional: PBE
Structure: relaxed

```
data_LiMnAs
_cell_length_a 2.790
_cell_length_b 4.151
_cell_length_c 7.747
_cell_angle_alpha 90.00
_cell_angle_beta 90.00
_cell_angle_gamma 90.00
_space_group_name_H-M_alt 'P 1'
_space_group_IT_number 1
loop_
_space_group_symop_operation_xyz
'x,y,z'
loop_
_atom_site_label
_atom_site_type_symbol
_atom_site_fract_x
_atom_site_fract_y
_atom_site_fract_z
Li1 Li 0.000 0.000 0.000
Li2 Li 0.000 0.500 0.500
Mn1 Mn 0.500 0.000 0.368
Mn2 Mn 0.500 0.000 0.632
As1 As 0.500 0.500 0.219
As2 As 0.500 0.500 0.781
```

Output
Calculated total energy in eV per atom: -5.259
Energy relative to the lowest polymorph listed for this composition in meV per atom: 448
Space-group type: Pmmm (47)
N(E_F) in states/eV per cell: 3.44
M_tot in Bohr magnetons per cell: 1.9
Crystal system: orthorhombic
Calculated formation energy in eV per atom: -0.015

=====

Compound: PdSeI2
Source: Alexandria via LeMat-Bulk
Functional: PBE
Structure: relaxed

```
data_PdSeI2
_cell_length_a 7.346
_cell_length_b 7.346
_cell_length_c 7.346
_cell_angle_alpha 90.00
_cell_angle_beta 90.00
_cell_angle_gamma 90.00
_space_group_name_H-M_alt 'P 1'
_space_group_IT_number 1
loop_
_space_group_symop_operation_xyz
'x,y,z'
loop_
_atom_site_label
_atom_site_type_symbol
_atom_site_fract_x
_atom_site_fract_y
_atom_site_fract_z
Pd1 Pd 0.000 0.000 0.000
Pd2 Pd 0.000 0.500 0.500
Pd3 Pd 0.500 0.000 0.500
Pd4 Pd 0.500 0.500 0.000
Se1 Se 0.000 0.000 0.500
Se2 Se 0.000 0.500 0.000
Se3 Se 0.500 0.000 0.000
Se4 Se 0.500 0.500 0.500
I1 I 0.250 0.250 0.250
I2 I 0.250 0.250 0.750
I3 I 0.250 0.750 0.250
I4 I 0.250 0.750 0.750
I5 I 0.750 0.250 0.250
I6 I 0.750 0.250 0.750
I7 I 0.750 0.750 0.250
I8 I 0.750 0.750 0.750
```

Output
Calculated total energy in eV per atom: -2.331
Energy relative to the elements, uncorrected in eV per atom: 0.6132
Space-group type: Fm-3m (225)
N(E_F) in states/eV per cell: 12.15
M_tot in Bohr magnetons per cell: 0.0
Crystal system: cubic

=====

Compound: LiScPd
Source: Alexandria via LeMat-Bulk
Functional: PBE
Structure: relaxed

```
data_LiScPd
_cell_length_a 3.394
_cell_length_b 3.394
_cell_length_c 8.964
_cell_angle_alpha 90.00
_cell_angle_beta 90.00
_cell_angle_gamma 90.00
_space_group_name_H-M_alt 'P 1'
_space_group_IT_number 1
loop_
_space_group_symop_operation_xyz
'x,y,z'
loop_
_atom_site_label
_atom_site_type_symbol
_atom_site_fract_x
_atom_site_fract_y
_atom_site_fract_z
Li1 Li 0.000 0.000 0.000
Li2 Li 0.500 0.500 0.500
Sc1 Sc 0.000 0.000 0.305
Sc2 Sc 0.500 0.500 0.805
Pd1 Pd 0.000 0.000 0.650
Pd2 Pd 0.500 0.500 0.150
```

Output
Calculated total energy in eV per atom: -4.976
Energy relative to the lowest polymorph listed for this composition in meV per atom: 73
Space-group type: I4mm (107)
N(E_F) in states/eV per cell: 4.62
M_tot in Bohr magnetons per cell: 0.0
Crystal system: tetragonal
Calculated formation energy in eV per atom: -0.496

=====

Compound: Ir2CN2
Source: Alexandria via LeMat-Bulk
Functional: PBE
Structure: relaxed

```
data_Ir2CN2
_cell_length_a 3.282
_cell_length_b 3.282
_cell_length_c 10.294
_cell_angle_alpha 90.00
_cell_angle_beta 90.00
_cell_angle_gamma 90.00
_space_group_name_H-M_alt 'P 1'
_space_group_IT_number 1
loop_
_space_group_symop_operation_xyz
'x,y,z'
loop_
_atom_site_label
_atom_site_type_symbol
_atom_site_fract_x
_atom_site_fract_y
_atom_site_fract_z
Ir1 Ir 0.000 0.000 0.130
Ir2 Ir 0.000 0.000 0.870
Ir3 Ir 0.500 0.500 0.370
Ir4 Ir 0.500 0.500 0.630
C1 C 0.000 0.000 0.500
C2 C 0.500 0.500 0.000
N1 N 0.000 0.500 0.250
N2 N 0.000 0.500 0.750
N3 N 0.500 0.000 0.250
N4 N 0.500 0.000 0.750
```

Output
Calculated total energy in eV per atom: -6.867
Energy relative to the lowest polymorph listed for this composition in meV per atom: 146
Energy relative to the elements, uncorrected in eV per atom: 1.8523
Space-group type: I4/mmm (139)
N(E_F) in states/eV per cell: 4.30
M_tot in Bohr magnetons per cell: 0.0
Crystal system: tetragonal

=====

Compound: BeSb2Se
Source: Alexandria via LeMat-Bulk
Functional: PBE
Structure: relaxed

```
data_BeSb2Se
_cell_length_a 7.017
_cell_length_b 7.017
_cell_length_c 7.017
_cell_angle_alpha 90.00
_cell_angle_beta 90.00
_cell_angle_gamma 90.00
_space_group_name_H-M_alt 'P 1'
_space_group_IT_number 1
loop_
_space_group_symop_operation_xyz
'x,y,z'
loop_
_atom_site_label
_atom_site_type_symbol
_atom_site_fract_x
_atom_site_fract_y
_atom_site_fract_z
Be1 Be 0.000 0.000 0.000
Be2 Be 0.000 0.500 0.500
Be3 Be 0.500 0.000 0.500
Be4 Be 0.500 0.500 0.000
Sb1 Sb 0.250 0.250 0.250
Sb2 Sb 0.250 0.250 0.750
Sb3 Sb 0.250 0.750 0.250
Sb4 Sb 0.250 0.750 0.750
Sb5 Sb 0.750 0.250 0.250
Sb6 Sb 0.750 0.250 0.750
Sb7 Sb 0.750 0.750 0.250
Sb8 Sb 0.750 0.750 0.750
Se1 Se 0.000 0.000 0.500
Se2 Se 0.000 0.500 0.000
Se3 Se 0.500 0.000 0.000
Se4 Se 0.500 0.500 0.500
```

Output
Calculated total energy in eV per atom: -3.288
Energy relative to the lowest polymorph listed for this composition in meV per atom: 655
Energy relative to the elements, uncorrected in eV per atom: 0.5759
Space-group type: Fm-3m (225)
N(E_F) in states/eV per cell: 12.83
M_tot in Bohr magnetons per cell: 0.0
Crystal system: cubic

=====

Compound: V2Fe5SiB2
Source: Alexandria via LeMat-Bulk
Functional: PBE
Structure: relaxed

```
data_V2Fe5SiB2
_cell_length_a 8.471
_cell_length_b 8.471
_cell_length_c 2.758
_cell_angle_alpha 90.00
_cell_angle_beta 90.00
_cell_angle_gamma 90.00
_space_group_name_H-M_alt 'P 1'
_space_group_IT_number 1
loop_
_space_group_symop_operation_xyz
'x,y,z'
loop_
_atom_site_label
_atom_site_type_symbol
_atom_site_fract_x
_atom_site_fract_y
_atom_site_fract_z
V1 V 0.175 0.325 0.000
V2 V 0.325 0.825 0.000
V3 V 0.675 0.175 0.000
V4 V 0.825 0.675 0.000
Fe1 Fe 0.000 0.500 0.500
Fe2 Fe 0.068 0.787 0.500
Fe3 Fe 0.213 0.068 0.500
Fe4 Fe 0.287 0.568 0.500
Fe5 Fe 0.432 0.287 0.500
Fe6 Fe 0.500 0.000 0.500
Fe7 Fe 0.568 0.713 0.500
Fe8 Fe 0.713 0.432 0.500
Fe9 Fe 0.787 0.932 0.500
Fe10 Fe 0.932 0.213 0.500
Si1 Si 0.000 0.000 0.000
Si2 Si 0.500 0.500 0.000
B1 B 0.124 0.624 0.000
B2 B 0.376 0.124 0.000
B3 B 0.624 0.876 0.000
B4 B 0.876 0.376 0.000
```

Output
Calculated total energy in eV per atom: -8.414
Energy relative to the elements, uncorrected in eV per atom: -0.4815
Space-group type: P4/mbm (127)
N(E_F) in states/eV per cell: 11.81
M_tot in Bohr magnetons per cell: 0.0
Crystal system: tetragonal

=====

Compound: ZnIrCl2
Source: Alexandria via LeMat-Bulk
Functional: PBE
Structure: relaxed

```
data_ZnIrCl2
_cell_length_a 3.234
_cell_length_b 3.234
_cell_length_c 23.626
_cell_angle_alpha 90.00
_cell_angle_beta 90.00
_cell_angle_gamma 120.00
_space_group_name_H-M_alt 'P 1'
_space_group_IT_number 1
loop_
_space_group_symop_operation_xyz
'x,y,z'
loop_
_atom_site_label
_atom_site_type_symbol
_atom_site_fract_x
_atom_site_fract_y
_atom_site_fract_z
Zn1 Zn 0.000 0.000 0.000
Zn2 Zn 0.333 0.667 0.667
Zn3 Zn 0.667 0.333 0.333
Ir1 Ir 0.000 0.000 0.500
Ir2 Ir 0.333 0.667 0.167
Ir3 Ir 0.667 0.333 0.833
Cl1 Cl 0.000 0.000 0.403
Cl2 Cl 0.000 0.000 0.597
Cl3 Cl 0.333 0.667 0.069
Cl4 Cl 0.333 0.667 0.264
Cl5 Cl 0.667 0.333 0.736
Cl6 Cl 0.667 0.333 0.931
```

Output
Calculated total energy in eV per atom: -3.238
Energy relative to the lowest polymorph listed for this composition in meV per atom: 428
Energy relative to the elements, uncorrected in eV per atom: 0.2186
Space-group type: R-3m (166)
N(E_F) in states/eV per cell: 4.80
M_tot in Bohr magnetons per cell: 0.0
Crystal system: trigonal

=====

Q: Which formula does entry 5 have?
A: Cd3GaFe